Here is a relaxed structure of RbSr2YPd from Alexandria. Energies are from PBE-GGA.

**Energy of formation**: -0.126 eV per atom
**Size of the total moment**: 0.000 μB per atom

Lattice parameters (Å, degrees): 6.248 6.248 5.578 90.00 90.00 90.00
Space group P4/mmm (No. 123)
One atom of each set of equivalent atoms:
Rb 0.000 0.000 0.000 (multiplicity 1)
Sr 0.000 0.500 0.500 (multiplicity 2)
Y 0.500 0.500 0.000 (multiplicity 1)
Pd 0.500 0.500 0.500 (multiplicity 1)